Compound: MnCdNiBr2
Source: Alexandria
Functional: GGA-PBE
Structure: optimized geometry

Computed properties:
Formation energy without anion corrections in eV per atom: 0.28

Unit cell a=4.9054 b=5.0395 c=4.9054 alpha=90.00 beta=90.00 gamma=90.00
Last column: nearest neighbours and their distance in Å.
Atoms (fractional coordinates):
Cd 0.5000 0.5000 0.5000  4 Mn 3.47, 8 Br 3.52
Br 0.0000 0.0000 0.5000  2 Ni 2.45
Mn 0.0000 0.5000 0.0000  2 Ni 2.52
Br 0.5000 0.0000 0.0000  2 Ni 2.45
Ni 0.0000 0.0000 0.0000  4 Br 2.45, 2 Mn 2.52